# AcYHoMg

A relaxed AcYHoMg crystal (GGA-PBE, Alexandria).

- size of the total moment (μB per atom) = 0.001
- formation energy from the elements (eV/atom) = 0.1475

Structure (CIF):
```
data_AcYHoMg
_chemical_formula_sum 'Ac1 Y1 Ho1 Mg1'
_symmetry_space_group_name_H-M 'P 1'
_symmetry_Int_Tables_number 1
_cell_length_a 5.697
_cell_length_b 5.697
_cell_length_c 5.697
_cell_angle_alpha 60.00
_cell_angle_beta 60.00
_cell_angle_gamma 60.00
loop_
_symmetry_equiv_pos_as_xyz
'x,y,z'
loop_
_atom_site_label
_atom_site_fract_x
_atom_site_fract_y
_atom_site_fract_z
Y1 0.250 0.250 0.250
Mg1 0.000 0.000 0.000
Ho1 0.750 0.750 0.750
Ac1 0.500 0.500 0.500
```